Tl2GaWO6 after structural relaxation, computed with GGA+U.

a = 10.0677 Å, b = 10.0677 Å, c = 10.0677 Å
α = 33.60°, β = 33.60°, γ = 33.60°
With the nearest neighbours (Å) after each atom.
Fractional coordinates of all 20 atoms:
Tl (0.1293, 0.1293, 0.1293)  12 O 2.92-3.02
Tl (0.2732, 0.2732, 0.2732)  3 O 2.58
Tl (0.7268, 0.7268, 0.7268)  3 O 2.58
Tl (0.8707, 0.8707, 0.8707)  12 O 2.92-3.02
Ga (0.4003, 0.4003, 0.4003)  3 O 1.92
Ga (0.5997, 0.5997, 0.5997)  3 O 1.92
W (0.0000, 0.0000, 0.0000)  6 O 1.96
W (0.5000, 0.5000, 0.5000)  6 O 1.95
O (0.1559, 0.6075, 0.6075)  1 W 1.95
O (0.1988, 0.1988, 0.7207)  1 Ga 1.92, 1 W 1.96
O (0.1988, 0.7207, 0.1988)  1 Ga 1.92, 1 W 1.96
O (0.2793, 0.8012, 0.8012)  1 Ga 1.92, 1 W 1.96
O (0.3925, 0.3925, 0.8441)  1 W 1.95
O (0.3925, 0.8441, 0.3925)  1 W 1.95
O (0.6075, 0.1559, 0.6075)  1 W 1.95
O (0.6075, 0.6075, 0.1559)  1 W 1.95
O (0.7207, 0.1988, 0.1988)  1 Ga 1.92, 1 W 1.96
O (0.8012, 0.2793, 0.8012)  1 Ga 1.92, 1 W 1.96
O (0.8012, 0.8012, 0.2793)  1 Ga 1.92, 1 W 1.96
O (0.8441, 0.3925, 0.3925)  1 W 1.95

Properties
Mass density = 9.05 g/cm³
Volume = 139 Å³/f.u.
Raw total energy = -116.170 eV per cell
Size of the total moment = 0.000 μB per formula unit